1.
Compound: NdEr2Pb2
Source: Alexandria
Functional: PBE
Structure: relaxed

a = 6.5738 Å, b = 6.5879 Å, c = 7.8416 Å
α = 90.00°, β = 114.48°, γ = 90.00°
With the nearest neighbours (Å) after each atom.
Space group C2/m (No. 12)
Inequivalent atoms, fractional coordinates:
Nd1 0.0000 0.0000 0.0000 (multiplicity 2)  8 Pb 3.58-3.62
Er1 0.0000 0.2500 0.5000 (multiplicity 4)  4 Pb 3.13, 4 Er 3.29
Pb1 0.1053 0.5000 0.2061 (multiplicity 4)  1 Pb 2.94, 4 Er 3.13

The density of states at the Fermi level is 11.078 states/eV per cell. For the energy of formation, the calculation gives -27.87 kJ/mol of atoms. The value obtained for the total energy is -45.51 eV/cell. The total magnetization comes out at 0.0 μB/f.u. For the calculated volume, the calculation gives 309.08 Å³ per cell.

2.
Compound: ScTiHg2
Source: Alexandria
Functional: PBE
Structure: relaxed

a = 6.8928 Å, b = 6.8928 Å, c = 6.8928 Å
α = 90.00°, β = 90.00°, γ = 90.00°
With the nearest neighbours (Å) after each atom.
Space group Fm-3m (No. 225)
Inequivalent atoms, fractional coordinates:
Sc1 0.0000 0.0000 0.0000 (multiplicity 4)  8 Hg 2.98
Ti1 0.0000 0.0000 0.5000 (multiplicity 4)  8 Hg 2.98
Hg1 0.2500 0.2500 0.2500 (multiplicity 8)  4 Sc 2.98, 4 Ti 2.98

The density of states at the Fermi level is 23.263 states/eV per cell. For the energy of formation, the calculation gives -17.33 kJ/mol of atoms. The value obtained for the total energy is -62.19 eV/cell. The total magnetization comes out at 1.2 μB/f.u. For the calculated volume, the calculation gives 327.48 Å³ per cell. The energy above the most stable polymorph in this dataset is 0.0117 eV/atom.

3.
Compound: CsZn2Pt2
Source: Alexandria
Functional: PBE
Structure: relaxed

a = 8.1215 Å, b = 8.1215 Å, c = 2.9935 Å
α = 90.00°, β = 90.00°, γ = 90.00°
With the nearest neighbours (Å) after each atom.
Space group P4/mbm (No. 127)
Inequivalent atoms, fractional coordinates:
Cs1 0.0000 0.0000 0.0000 (multiplicity 2)  2 Cs 2.99, 4 Pt 3.12
Zn1 0.1377 0.3623 0.5000 (multiplicity 4)  6 Pt 2.73-2.92, 2 Zn 2.99
Pt1 0.1436 0.6436 0.0000 (multiplicity 4)  6 Zn 2.73-2.92, 2 Pt 2.99

The density of states at the Fermi level is 3.144 states/eV per cell. For the energy of formation, the calculation gives -7.05 kJ/mol of atoms. The value obtained for the total energy is -31.70 eV/cell. The total magnetization comes out at 0.0 μB/f.u. For the calculated volume, the calculation gives 197.45 Å³ per cell. The energy above the most stable polymorph in this dataset is 0.0818 eV/atom.

4.
Compound: BeRhSe2N
Source: Alexandria
Functional: PBE
Structure: relaxed

a = 5.0964 Å, b = 5.0964 Å, c = 3.6004 Å
α = 90.00°, β = 90.00°, γ = 90.00°
With the nearest neighbours (Å) after each atom.
Space group P4/mmm (No. 123)
Inequivalent atoms, fractional coordinates:
Be1 0.0000 0.0000 0.0000 (multiplicity 1)  8 Se 3.12
Rh1 0.5000 0.5000 0.5000 (multiplicity 1)  2 N 1.80
Se1 0.0000 0.5000 0.5000 (multiplicity 2)  2 Rh 2.55
N1 0.5000 0.5000 0.0000 (multiplicity 1)  2 Rh 1.80

The density of states at the Fermi level is 1.763 states/eV per cell. The value obtained for the formation energy (no corrections) is 0.7488 eV/atom. The value obtained for the total energy is -22.63 eV/cell. The total magnetization comes out at 0.0 μB/f.u. For the calculated volume, the calculation gives 93.51 Å³ per cell. The energy above the most stable polymorph in this dataset is 0.2687 eV/atom.

5.
Compound: TmAuO
Source: Alexandria
Functional: PBE
Structure: relaxed

a = 3.8301 Å, b = 3.8301 Å, c = 7.1324 Å
α = 90.00°, β = 90.00°, γ = 90.00°
With the nearest neighbours (Å) after each atom.
Space group P4/nmm (No. 129, origin choice 2)
Inequivalent atoms, fractional coordinates:
Tm1 0.2500 0.2500 0.1520 (multiplicity 2)  4 O 2.20
Au1 0.2500 0.2500 0.5758 (multiplicity 2)  4 Au 2.92, 1 Tm 3.02
O1 0.2500 0.7500 0.0000 (multiplicity 2)  4 Tm 2.20

The density of states at the Fermi level is 1.728 states/eV per cell. The value obtained for the formation energy (no corrections) is -2.2979 eV/atom. The value obtained for the total energy is -39.20 eV/cell. The total magnetization comes out at 0.0 μB/f.u. For the calculated volume, the calculation gives 104.63 Å³ per cell. The energy above the most stable polymorph in this dataset is 0.0000 eV/atom.

6.
Compound: TlOsRh2
Source: Alexandria
Functional: PBE
Structure: relaxed

a = 2.8187 Å, b = 4.2664 Å, c = 11.7376 Å
α = 90.00°, β = 90.00°, γ = 90.00°
With the nearest neighbours (Å) after each atom.
Space group Imm2 (No. 44)
Inequivalent atoms, fractional coordinates:
Tl1 0.0000 0.0000 0.0000 (multiplicity 2)  6 Rh 2.76-2.89, 2 Tl 2.82, 2 Os 3.07
Os1 0.0000 0.5000 0.2678 (multiplicity 2)  6 Rh 2.53-2.67, 2 Os 2.82
Rh1 0.0000 0.0000 0.5884 (multiplicity 2)  2 Os 2.53, 4 Tl 2.76, 2 Rh 2.82
Rh2 0.0000 0.5000 0.8340 (multiplicity 2)  4 Os 2.67, 2 Rh 2.82, 2 Tl 2.89

The density of states at the Fermi level is 6.952 states/eV per cell. For the energy of formation, the calculation gives 45.93 kJ/mol of atoms. The value obtained for the total energy is -52.79 eV/cell. The total magnetization comes out at 0.0 μB/f.u. For the calculated volume, the calculation gives 141.15 Å³ per cell. The energy above the most stable polymorph in this dataset is 0.2537 eV/atom.

7.
Compound: TaBeCd2F
Source: Alexandria
Functional: PBE
Structure: relaxed

a = 5.6240 Å, b = 5.6240 Å, c = 4.4665 Å
α = 90.00°, β = 90.00°, γ = 90.00°
With the nearest neighbours (Å) after each atom.
Space group P4/mmm (No. 123)
Inequivalent atoms, fractional coordinates:
Ta1 0.0000 0.0000 0.0000 (multiplicity 1)  2 Be 2.23
Be1 0.0000 0.0000 0.5000 (multiplicity 1)  2 Ta 2.23
Cd1 0.0000 0.5000 0.0000 (multiplicity 2)  2 Ta 2.81
F1 0.5000 0.5000 0.5000 (multiplicity 1)  8 Cd 3.59, 4 Be 3.98

The density of states at the Fermi level is 4.827 states/eV per cell. The value obtained for the formation energy (no corrections) is 1.0780 eV/atom. The value obtained for the total energy is -13.89 eV/cell. The total magnetization comes out at 0.0 μB/f.u. For the calculated volume, the calculation gives 141.27 Å³ per cell.

8.
Compound: AcSmTm2
Source: Alexandria
Functional: PBE
Structure: relaxed

a = 5.2316 Å, b = 5.2316 Å, c = 5.0117 Å
α = 90.00°, β = 90.00°, γ = 90.00°
With the nearest neighbours (Å) after each atom.
Space group P4/mmm (No. 123)
Inequivalent atoms, fractional coordinates:
Ac1 0.0000 0.0000 0.0000 (multiplicity 1)  8 Tm 3.62, 4 Sm 3.70
Sm1 0.5000 0.5000 0.0000 (multiplicity 1)  8 Tm 3.62, 4 Ac 3.70
Tm1 0.0000 0.5000 0.5000 (multiplicity 2)  4 Ac 3.62, 4 Sm 3.62, 4 Tm 3.70

The density of states at the Fermi level is 6.657 states/eV per cell. For the energy of formation, the calculation gives 5.81 kJ/mol of atoms. The value obtained for the total energy is -17.53 eV/cell. The total magnetization comes out at 0.0 μB/f.u. For the calculated volume, the calculation gives 137.17 Å³ per cell. The energy above the most stable polymorph in this dataset is 0.0045 eV/atom.